[1]
## Rb3Tm3AlTe8 (PBE-GGA)

Data for crystalline Rb3Tm3AlTe8 at its relaxed geometry.

Properties
Raw formation energy ... -105.2 kJ per mole of atoms
DFT total energy ... -61.554 eV per formula unit
Crystal system ... monoclinic

```
data_Rb3Tm3AlTe8
_chemical_formula_sum 'Rb6 Tm6 Al2 Te16'
_space_group_name_H-M_alt 'C 1 2/m 1'
_space_group_IT_number 12
_cell_length_a 14.9459
_cell_length_b 8.6196
_cell_length_c 10.1994
_cell_angle_alpha 90.00
_cell_angle_beta 119.27
_cell_angle_gamma 90.00
loop_
_space_group_symop_operation_xyz
'x,y,z'
'-x,-y,-z'
'-x,y,-z'
'x,-y,z'
'x+1/2,y+1/2,z'
'-x+1/2,-y+1/2,-z'
'-x+1/2,y+1/2,-z'
'x+1/2,-y+1/2,z'
loop_
_atom_site_label
_atom_site_fract_x
_atom_site_fract_y
_atom_site_fract_z
Rb1 0.0000 0.0000 0.0000
Rb2 0.2500 0.2500 0.0000
Tm1 0.0000 0.5000 0.5000
Tm2 0.2500 0.2500 0.5000
Al1 0.0000 0.0000 0.5000
Te1 0.0166 0.2372 0.3125
Te2 0.2205 0.0000 0.6874
Te3 0.2331 0.5000 0.6992
```

[2]
## Cr2Si2P (PBE-GGA)

Data for crystalline Cr2Si2P at its relaxed geometry.

Properties
Raw formation energy ... 46.6 kJ per mole of atoms
DFT total energy ... -33.087 eV per formula unit
Crystal system ... tetragonal

```
data_Cr2Si2P
_chemical_formula_sum 'Cr4 Si4 P2'
_space_group_name_H-M_alt 'I 4/m m m'
_space_group_IT_number 139
_space_group_name_Hall '-I 4 2'
_cell_length_a 3.4485
_cell_length_b 3.4485
_cell_length_c 11.5963
_cell_angle_alpha 90.00
_cell_angle_beta 90.00
_cell_angle_gamma 90.00
loop_
_atom_site_label
_atom_site_fract_x
_atom_site_fract_y
_atom_site_fract_z
Cr1 0.0000 0.5000 0.2500
Si1 0.0000 0.0000 0.1002
P1 0.0000 0.0000 0.5000
```

[3]
## AgPdF5 (PBE-GGA)

Data for crystalline AgPdF5 at its relaxed geometry.

Properties
Raw formation energy ... -119.0 kJ per mole of atoms
DFT total energy ... -26.037 eV per formula unit
Crystal system ... orthorhombic

```
data_AgPdF5
_chemical_formula_sum 'Ag2 Pd2 F10'
_space_group_name_H-M_alt 'I m m m'
_space_group_IT_number 71
_space_group_name_Hall '-I 2 2'
_cell_length_a 4.0422
_cell_length_b 6.6415
_cell_length_c 8.2511
_cell_angle_alpha 90.00
_cell_angle_beta 90.00
_cell_angle_gamma 90.00
loop_
_atom_site_label
_atom_site_fract_x
_atom_site_fract_y
_atom_site_fract_z
Ag1 0.0000 0.0000 0.0000
Pd1 0.0000 0.0000 0.5000
F1 0.0000 0.0000 0.2588
F2 0.0000 0.2971 0.5000
F3 0.0000 0.5000 0.0000
```

[4]
## Rb3SnBi4 (PBE-GGA)

Data for crystalline Rb3SnBi4 at its relaxed geometry.

Properties
DFT total energy ... -23.601 eV per formula unit
Energy relative to the elements ... -0.15 eV/atom
Crystal system ... orthorhombic

```
data_Rb3SnBi4
_chemical_formula_sum 'Rb6 Sn2 Bi8'
_space_group_name_H-M_alt 'P m m n'
_space_group_IT_number 59
_cell_length_a 7.0759
_cell_length_b 14.2370
_cell_length_c 7.0067
_cell_angle_alpha 90.00
_cell_angle_beta 90.00
_cell_angle_gamma 90.00
loop_
_space_group_symop_operation_xyz
'x,y,z'
'-x,-y,-z'
'-x+1/2,-y+1/2,z'
'x+1/2,y+1/2,-z'
'x+1/2,-y,-z'
'-x+1/2,y,z'
'-x,y+1/2,-z'
'x,-y+1/2,z'
loop_
_atom_site_label
_atom_site_fract_x
_atom_site_fract_y
_atom_site_fract_z
Rb1 0.2500 0.0009 0.1736
Rb2 0.2500 0.2500 0.5626
Sn1 0.2500 0.7500 0.3204
Bi1 0.0052 0.2500 0.0738
Bi2 0.2500 0.6054 0.6674
```

[5]
## Be2PtSe (PBE-GGA)

Data for crystalline Be2PtSe at its relaxed geometry.

Properties
Raw formation energy ... -10.8 kJ per mole of atoms
DFT total energy ... -17.424 eV per formula unit
Crystal system ... monoclinic

```
data_Be2PtSe
_chemical_formula_sum 'Be4 Pt2 Se2'
_space_group_name_H-M_alt 'C 1 2/m 1'
_space_group_IT_number 12
_cell_length_a 5.7363
_cell_length_b 3.3269
_cell_length_c 6.1236
_cell_angle_alpha 90.00
_cell_angle_beta 108.29
_cell_angle_gamma 90.00
loop_
_space_group_symop_operation_xyz
'x,y,z'
'-x,-y,-z'
'-x,y,-z'
'x,-y,z'
'x+1/2,y+1/2,z'
'-x+1/2,-y+1/2,-z'
'-x+1/2,y+1/2,-z'
'x+1/2,-y+1/2,z'
loop_
_atom_site_label
_atom_site_fract_x
_atom_site_fract_y
_atom_site_fract_z
Be1 0.2498 0.0000 0.2495
Pt1 0.0000 0.0000 0.5000
Se1 0.0000 0.5000 0.0000
```

[6]
## Ni2HgRh (PBE-GGA)

Data for crystalline Ni2HgRh at its relaxed geometry.

Properties
DFT total energy ... -17.055 eV per formula unit
Energy relative to the elements ... 0.54 eV/atom
Crystal system ... tetragonal

```
data_Ni2HgRh
_chemical_formula_sum 'Ni8 Hg4 Rh4'
_space_group_name_H-M_alt 'I -4 2 d'
_space_group_IT_number 122
_space_group_name_Hall 'I -4 2bw'
_cell_length_a 3.8242
_cell_length_b 3.8242
_cell_length_c 17.5233
_cell_angle_alpha 90.00
_cell_angle_beta 90.00
_cell_angle_gamma 90.00
loop_
_atom_site_label
_atom_site_fract_x
_atom_site_fract_y
_atom_site_fract_z
Ni1 0.2055 0.2500 0.1250
Hg1 0.0000 0.0000 0.5000
Rh1 0.0000 0.0000 0.0000
```

[7]
## BaTaAs2 (PBE-GGA)

Data for crystalline BaTaAs2 at its relaxed geometry.

Properties
DFT total energy ... -21.279 eV per formula unit
Energy relative to the elements ... 0.45 eV/atom
Crystal system ... trigonal

```
data_BaTaAs2
_chemical_formula_sum 'Ba3 Ta3 As6'
_space_group_name_H-M_alt 'R 3 m'
_space_group_IT_number 160
_space_group_name_Hall 'R 3 -2"'
_cell_length_a 3.4475
_cell_length_b 3.4475
_cell_length_c 28.9320
_cell_angle_alpha 90.00
_cell_angle_beta 90.00
_cell_angle_gamma 120.00
loop_
_atom_site_label
_atom_site_fract_x
_atom_site_fract_y
_atom_site_fract_z
Ba1 0.0000 0.0000 0.0000
Ta1 0.0000 0.0000 0.2276
As1 0.0000 0.0000 0.5052
As2 0.0000 0.0000 0.7600
```

[8]
## Er5Te2Rh (PBE-GGA)

Data for crystalline Er5Te2Rh at its relaxed geometry.

Properties
Raw formation energy ... -52.7 kJ per mole of atoms
DFT total energy ... -40.816 eV per formula unit
Crystal system ... orthorhombic

```
data_Er5Te2Rh
_chemical_formula_sum 'Er20 Te8 Rh4'
_space_group_name_H-M_alt 'C m c m'
_space_group_IT_number 63
_space_group_name_Hall '-C 2c 2'
_cell_length_a 5.1810
_cell_length_b 16.1530
_cell_length_c 13.3643
_cell_angle_alpha 90.00
_cell_angle_beta 90.00
_cell_angle_gamma 90.00
loop_
_atom_site_label
_atom_site_fract_x
_atom_site_fract_y
_atom_site_fract_z
Er1 0.0000 0.0978 0.1127
Er2 0.0000 0.2605 0.7500
Er3 0.0000 0.3110 0.0702
Te1 0.0000 0.0904 0.6157
Rh1 0.0000 0.2194 0.2500
```

[9]
## Ba2ZnAsPt6 (PBE-GGA)

Data for crystalline Ba2ZnAsPt6 at its relaxed geometry.

Properties
DFT total energy ... -52.126 eV per formula unit
Energy relative to the elements ... -0.61 eV/atom
Crystal system ... monoclinic

```
data_Ba2ZnAsPt6
_chemical_formula_sum 'Ba4 Zn2 As2 Pt12'
_space_group_name_H-M_alt 'C 1 2/m 1'
_space_group_IT_number 12
_cell_length_a 12.4212
_cell_length_b 5.7210
_cell_length_c 8.3167
_cell_angle_alpha 90.00
_cell_angle_beta 130.11
_cell_angle_gamma 90.00
loop_
_space_group_symop_operation_xyz
'x,y,z'
'-x,-y,-z'
'-x,y,-z'
'x,-y,z'
'x+1/2,y+1/2,z'
'-x+1/2,-y+1/2,-z'
'-x+1/2,y+1/2,-z'
'x+1/2,-y+1/2,z'
loop_
_atom_site_label
_atom_site_fract_x
_atom_site_fract_y
_atom_site_fract_z
Ba1 0.2353 0.0000 0.1815
Zn1 0.0000 0.5000 0.0000
As1 0.0000 0.0000 0.5000
Pt1 0.0300 0.2620 0.2959
Pt2 0.2470 0.5000 0.3781
```

[10]
## Ti3Zn2Pt3 (PBE-GGA)

Data for crystalline Ti3Zn2Pt3 at its relaxed geometry.

Properties
DFT total energy ... -50.061 eV per formula unit
Energy relative to the elements ... -0.71 eV/atom
Crystal system ... orthorhombic

```
data_Ti3Zn2Pt3
_chemical_formula_sum 'Ti6 Zn4 Pt6'
_space_group_name_H-M_alt 'I m m m'
_space_group_IT_number 71
_space_group_name_Hall '-I 2 2'
_cell_length_a 3.9752
_cell_length_b 4.0063
_cell_length_c 15.2999
_cell_angle_alpha 90.00
_cell_angle_beta 90.00
_cell_angle_gamma 90.00
loop_
_atom_site_label
_atom_site_fract_x
_atom_site_fract_y
_atom_site_fract_z
Ti1 0.0000 0.0000 0.0000
Ti2 0.0000 0.5000 0.1226
Zn1 0.0000 0.0000 0.2498
Pt1 0.0000 0.0000 0.5000
Pt2 0.0000 0.5000 0.3689
```

[11]
## Bi (PBE-GGA)

Data for crystalline Bi at its relaxed geometry.

Properties
DFT total energy ... -3.560 eV per formula unit
Energy relative to the elements ... 0.32 eV/atom
Crystal system ... cubic

```
data_Bi
_chemical_formula_sum 'Bi16'
_space_group_name_H-M_alt 'I m -3 m'
_space_group_IT_number 229
_space_group_name_Hall '-I 4 2 3'
_cell_length_a 10.2018
_cell_length_b 10.2018
_cell_length_c 10.2018
_cell_angle_alpha 90.00
_cell_angle_beta 90.00
_cell_angle_gamma 90.00
loop_
_atom_site_label
_atom_site_fract_x
_atom_site_fract_y
_atom_site_fract_z
Bi1 0.1531 0.1531 0.1531
```